Arrangement w

FeCuCl6 | PBE | optimized geometry

Properties
- M_tot: 2.98 μB/cell

Cell lengths 6.114, 6.105, 6.425 Å; angles 61.55, 61.43, 59.92 degrees
Positions (direct):
Fe  0.500  0.500  0.500
Cu  0.000  0.000  0.000
Cl  0.122  0.390  0.746
Cl  0.741  0.123  0.745
Cl  0.612  0.257  0.253
Cl  0.259  0.877  0.255
Cl  0.878  0.610  0.254
Cl  0.388  0.743  0.747

Arrangement x

FeCuCl6 | PBE | optimized geometry

Properties
- M_tot: 3.04 μB/cell

Cell lengths 5.866, 7.263, 7.263 Å; angles 66.97, 74.38, 105.62 degrees
Positions (direct):
Fe  0.000  0.000  0.000
Cu  0.500  0.000  0.000
Cl  0.144  0.741  0.000
Cl  0.403  0.259  0.741
Cl  0.856  0.259  0.000
Cl  0.856  0.000  0.741
Cl  0.597  0.741  0.259
Cl  0.144  0.000  0.259

The least stable of them is arrangement w.

Arrangement w

Ga2CuCl6 | PBE | optimized geometry

Properties
- M_tot: 0.00 μB/cell

Cell lengths 7.790, 9.806, 9.806 Å; angles 90.53, 67.91, 67.91 degrees
Positions (direct):
Ga  0.203  0.621  0.793
Ga  0.297  0.207  0.379
Ga  0.797  0.379  0.207
Ga  0.703  0.793  0.621
Cu  0.250  0.197  0.803
Cu  0.750  0.803  0.197
Cl  0.496  0.661  0.641
Cl  0.004  0.359  0.339
Cl  0.504  0.339  0.359
Cl  0.996  0.641  0.661
Cl  0.810  0.866  0.395
Cl  0.690  0.605  0.134
Cl  0.190  0.134  0.605
Cl  0.310  0.395  0.866
Cl  0.035  0.804  0.994
Cl  0.465  0.006  0.196
Cl  0.965  0.196  0.006
Cl  0.535  0.994  0.804

Arrangement x

Ga2CuCl6 | PBE | optimized geometry

Properties
- M_tot: 2.03 μB/cell

Cell lengths 6.507, 9.898, 9.898 Å; angles 81.71, 82.45, 82.45 degrees
Positions (direct):
Ga  0.223  0.496  0.670
Ga  0.277  0.330  0.504
Ga  0.777  0.504  0.330
Ga  0.723  0.670  0.496
Cu  0.250  0.000  0.000
Cu  0.750  0.000  0.000
Cl  0.364  0.704  0.582
Cl  0.136  0.418  0.296
Cl  0.636  0.296  0.418
Cl  0.864  0.582  0.704
Cl  0.806  0.876  0.445
Cl  0.694  0.555  0.124
Cl  0.194  0.124  0.555
Cl  0.306  0.445  0.876
Cl  0.042  0.873  0.918
Cl  0.458  0.082  0.127
Cl  0.958  0.127  0.082
Cl  0.542  0.918  0.873

The least stable of them is arrangement w.

Arrangement w

GaCu2Cl | PBE | optimized geometry

Properties
- M_tot: 0.00 μB/cell

Cell lengths 6.197, 6.197, 5.898 Å; angles 58.31, 58.31, 90.00 degrees
Positions (direct):
Cu  0.621  0.125  0.250
Cu  0.129  0.625  0.250
Cu  0.375  0.379  0.750
Cu  0.875  0.871  0.750
Ga  0.000  0.000  0.000
Ga  0.750  0.250  0.500
Cl  0.500  0.500  0.000
Cl  0.250  0.750  0.500

Arrangement x

GaCu2Cl | PBE | optimized geometry

Properties
- M_tot: 0.00 μB/cell

Cell lengths 4.548, 4.548, 4.548 Å; angles 60.00, 60.00, 60.00 degrees
Positions (direct):
Cu  0.250  0.250  0.250
Cu  0.750  0.750  0.750
Ga  0.500  0.500  0.500
Cl  0.000  0.000  0.000

The least stable of them is arrangement x.

Arrangement w

GaCu3Cl | PBE | optimized geometry

Properties
- M_tot: 0.00 μB/cell

Cell lengths 4.513, 4.513, 4.513 Å; angles 90.00, 90.00, 90.00 degrees
Positions (direct):
Cu  0.000  0.500  0.000
Cu  0.000  0.000  0.500
Cu  0.500  0.000  0.000
Ga  0.500  0.500  0.500
Cl  0.000  0.000  0.000

Arrangement x

GaCu3Cl | PBE | optimized geometry

Properties
- M_tot: 0.00 μB/cell

Cell lengths 4.637, 4.637, 4.637 Å; angles 90.00, 90.00, 90.00 degrees
Positions (direct):
Cu  0.000  0.500  0.000
Cu  0.000  0.000  0.500
Cu  0.500  0.000  0.000
Ga  0.000  0.000  0.000
Cl  0.500  0.500  0.500

The least stable of them is arrangement w.